Record 1
Ac5Tl2Si2 | GGA-PBE | optimized geometry

Values from the calculation:
- calculated total energy (eV/atom) = -4.431
- uncorrected formation energy (eV per atom) = -0.42
- magnetic moment (μB per formula unit) = 0.00

a b c (Å): 17.369 8.359 8.434
angles (deg): 90.00 90.00 90.00
Space group Cmce (No. 64)
One atom of each set of equivalent atoms:
Ac 0.000 0.000 0.000 (multiplicity 4)
Ac 0.127 0.187 0.320 (multiplicity 16)
Tl 0.220 0.000 0.000 (multiplicity 8)
Si 0.000 0.106 0.610 (multiplicity 8)

Record 2
Ac4Tl2Si | GGA-PBE | optimized geometry

Values from the calculation:
- calculated total energy (eV/atom) = -4.070
- uncorrected formation energy (eV per atom) = -0.27
- magnetic moment (μB per formula unit) = 0.00

a b c (Å): 18.554 4.276 7.193
angles (deg): 90.00 110.52 90.00
Space group C2/m (No. 12)
One atom of each set of equivalent atoms:
Ac 0.091 0.000 0.443 (multiplicity 4)
Ac 0.120 0.500 0.978 (multiplicity 4)
Tl 0.242 0.500 0.676 (multiplicity 4)
Si 0.000 0.000 0.000 (multiplicity 2)

Record 3
Ac3TlSi | GGA-PBE | optimized geometry

Values from the calculation:
- calculated total energy (eV/atom) = -4.144
- uncorrected formation energy (eV per atom) = -0.12
- magnetic moment (μB per formula unit) = 0.00

a b c (Å): 5.953 5.953 5.953
angles (deg): 90.00 90.00 90.00
Space group Pm-3m (No. 221)
One atom of each set of equivalent atoms:
Ac 0.000 0.000 0.500 (multiplicity 3)
Tl 0.500 0.500 0.500 (multiplicity 1)
Si 0.000 0.000 0.000 (multiplicity 1)